Entry 1:
{
  "formula": "Zr2CdAu3",
  "functional": "PBE",
  "state": "optimized geometry",
  "magmom_total_mub_per_cell": 0.0,
  "mass_density_g_cm3": 12.3,
  "ef_ev_per_atom": -0.41,
  "lattice_angstrom": [[3.289, 0.000, 0.000], [0.000, 3.289, 0.000], [0.000, 0.000, 11.092]],
  "species": ["Zr", "Zr", "Cd", "Au", "Au", "Au"],
  "frac_coords": [[0.000, 0.000, 0.170], [0.000, 0.000, 0.830], [0.000, 0.000, 0.500], [0.500, 0.500, 0.000], [0.500, 0.500, 0.331], [0.500, 0.500, 0.669]]
}

---

Entry 2:
{
  "formula": "ZrCdAu2",
  "functional": "PBE",
  "state": "optimized geometry",
  "magmom_total_mub_per_cell": 0.0,
  "mass_density_g_cm3": 12.5,
  "ef_ev_per_atom": -0.31,
  "lattice_angstrom": [[3.065, 0.000, 0.000], [0.000, 4.675, 0.000], [-1.519, 0.000, 5.552]],
  "species": ["Zr", "Cd", "Au", "Au"],
  "frac_coords": [[0.000, 0.000, 0.000], [0.322, 0.500, 0.651], [0.583, 0.500, 0.169], [0.735, 0.000, 0.476]]
}

---

Entry 3:
{
  "formula": "ZrCd3Au",
  "functional": "PBE",
  "state": "optimized geometry",
  "magmom_total_mub_per_cell": 0.6,
  "mass_density_g_cm3": 7.8,
  "ef_ev_per_atom": 0.52,
  "lattice_angstrom": [[5.113, 0.000, 0.000], [0.000, 5.113, 0.000], [0.000, 0.000, 5.113]],
  "species": ["Zr", "Cd", "Cd", "Cd", "Au"],
  "frac_coords": [[0.000, 0.000, 0.000], [0.000, 0.500, 0.500], [0.500, 0.000, 0.500], [0.500, 0.500, 0.000], [0.500, 0.500, 0.500]]
}